Ca3Ce2PaP6: optimized geometry, PBE-GGA.

abc: 7.159 7.159 7.055
angles: 99.75 99.75 119.99
Fractional coordinates of all 12 atoms:
Ca 0.168 0.832 0.500
Ca 0.832 0.168 0.500
Ca 0.500 0.500 0.500
Ce 0.334 0.666 0.000
Ce 0.666 0.334 0.000
Pa 0.000 0.000 0.000
P 0.923 0.599 0.768
P 0.754 0.754 0.231
P 0.077 0.401 0.232
P 0.599 0.923 0.768
P 0.246 0.246 0.769
P 0.401 0.077 0.232

Properties
Calculated formation energy (kcal/mol of atoms): -30.39



CaCeP2Pd2: optimized geometry, PBE-GGA.

abc: 4.198 4.198 7.787
angles: 90.00 90.00 120.00
Fractional coordinates of all 6 atoms:
Ca 0.000 0.000 0.500
Ce 0.000 0.000 0.000
P 0.667 0.333 0.768
P 0.333 0.667 0.232
Pd 0.667 0.333 0.254
Pd 0.333 0.667 0.746

Properties
Calculated formation energy (kcal/mol of atoms): -26.50



CaCe2PmP4: optimized geometry, PBE-GGA.

abc: 4.123 7.099 7.143
angles: 70.43 90.00 90.00
Fractional coordinates of all 8 atoms:
Ca 0.500 0.500 0.000
Ce 0.000 0.000 0.000
Ce 0.500 0.000 0.500
Pm 0.000 0.500 0.500
P 0.000 0.762 0.743
P 0.000 0.238 0.257
P 0.500 0.758 0.250
P 0.500 0.242 0.750

Properties
Calculated formation energy (kcal/mol of atoms): -32.80



CaCePm2P4: optimized geometry, PBE-GGA.

abc: 4.135 7.103 7.133
angles: 109.11 90.00 90.00
Fractional coordinates of all 8 atoms:
Ca 0.500 0.500 0.000
Ce 0.000 0.000 0.000
Pm 0.500 0.000 0.500
Pm 0.000 0.500 0.500
P 0.500 0.243 0.245
P 0.500 0.757 0.755
P 0.000 0.241 0.752
P 0.000 0.759 0.248

Properties
Calculated formation energy (kcal/mol of atoms): -32.63



Ca2CePrP4: optimized geometry, PBE-GGA.

abc: 4.172 7.245 7.110
angles: 109.92 90.00 90.00
Fractional coordinates of all 8 atoms:
Ca 0.500 0.000 0.500
Ca 0.000 0.500 0.500
Ce 0.000 0.000 0.000
Pr 0.500 0.500 0.000
P 0.500 0.238 0.236
P 0.500 0.762 0.764
P 0.000 0.245 0.758
P 0.000 0.755 0.242

Properties
Calculated formation energy (kcal/mol of atoms): -28.06



Ca3Ce2PrP6: optimized geometry, PBE-GGA.

abc: 7.228 7.228 7.077
angles: 99.82 99.82 120.03
Fractional coordinates of all 12 atoms:
Ca 0.164 0.836 0.500
Ca 0.836 0.164 0.500
Ca 0.500 0.500 0.500
Ce 0.333 0.667 0.000
Ce 0.667 0.333 0.000
Pr 0.000 0.000 0.000
P 0.921 0.578 0.764
P 0.736 0.736 0.237
P 0.079 0.422 0.236
P 0.578 0.921 0.764
P 0.264 0.264 0.763
P 0.422 0.079 0.236

Properties
Calculated formation energy (kcal/mol of atoms): -28.82



CaCe2PuP4: optimized geometry, PBE-GGA.

abc: 4.096 7.028 7.084
angles: 70.32 90.00 90.00
Fractional coordinates of all 8 atoms:
Ca 0.500 0.500 0.000
Ce 0.000 0.000 0.000
Ce 0.500 0.000 0.500
Pu 0.000 0.500 0.500
P 0.000 0.758 0.740
P 0.000 0.242 0.260
P 0.500 0.750 0.257
P 0.500 0.250 0.743

Properties
Calculated formation energy (kcal/mol of atoms): -30.08



Ca2CePuP4: optimized geometry, PBE-GGA.

abc: 4.115 7.109 7.035
angles: 109.84 90.00 90.00
Fractional coordinates of all 8 atoms:
Ca 0.500 0.000 0.500
Ca 0.000 0.500 0.500
Ce 0.000 0.000 0.000
Pu 0.500 0.500 0.000
P 0.500 0.247 0.231
P 0.500 0.753 0.769
P 0.000 0.263 0.774
P 0.000 0.737 0.226

Properties
Calculated formation energy (kcal/mol of atoms): -27.36



CaCeP2Rh5: optimized geometry, PBE-GGA.

abc: 3.994 3.994 11.209
angles: 90.00 90.00 90.00
Fractional coordinates of all 9 atoms:
Ca 0.000 0.000 0.000
Ce 0.000 0.000 0.500
P 0.500 0.500 0.296
P 0.500 0.500 0.704
Rh 0.000 0.500 0.204
Rh 0.500 0.000 0.204
Rh 0.000 0.500 0.796
Rh 0.500 0.000 0.796
Rh 0.500 0.500 0.500

Properties
Calculated formation energy (kcal/mol of atoms): -14.35



CaCeP2Rh2: optimized geometry, PBE-GGA.

abc: 4.052 4.052 8.212
angles: 90.00 90.00 120.00
Fractional coordinates of all 6 atoms:
Ca 0.000 0.000 0.500
Ce 0.000 0.000 0.000
P 0.667 0.333 0.768
P 0.333 0.667 0.232
Rh 0.667 0.333 0.251
Rh 0.333 0.667 0.749

Properties
Calculated formation energy (kcal/mol of atoms): -25.57



CaCeP2S8: optimized geometry, PBE-GGA.

abc: 6.014 6.014 9.097
angles: 90.00 90.00 120.00
Fractional coordinates of all 12 atoms:
Ca 0.000 0.000 0.000
Ce 0.000 0.000 0.500
P 0.667 0.333 0.230
P 0.333 0.667 0.770
S 0.333 0.667 0.989
S 0.346 0.345 0.301
S 0.655 0.001 0.301
S 0.667 0.333 0.011
S 0.345 0.999 0.699
S 0.654 0.655 0.699
S 0.001 0.346 0.699
S 0.999 0.654 0.301

Properties
ΔE_f (raw) (eV per atom): -0.782



Ca3CeSb2P: optimized geometry, PBE-GGA.

abc: 5.413 5.235 8.960
angles: 106.99 107.58 90.00
Fractional coordinates of all 7 atoms:
Ca 0.000 0.500 0.000
Ca 0.176 0.176 0.351
Ca 0.824 0.824 0.649
Ce 0.500 0.000 0.000
Sb 0.633 0.633 0.265
Sb 0.367 0.367 0.735
P 0.000 0.000 0.000

Properties
ΔE_f (raw) (eV per atom): -0.964



E_tot per entry: -6.304, -6.006, -6.455, -6.300, -5.761, -5.842, -7.534, -6.925, -6.790, -6.685, -5.096, -4.620 eV/atom